! Pm2Cu2AgPd5 (PBE-GGA, relaxed); values from VASP
! - SG: P4/mbm (127)
! - VASP energy: -5.20 eV/atom
! - Calculated volume: 17.89 Å³/atom
! - Formation energy: -52.85 kJ/mol of atoms
&SYSTEM
  ibrav = 0, nat = 20, ntyp = 4
/
ATOMIC_SPECIES
Ag 107.87 Ag.upf
Pm 145.00 Pm.upf
Pd 106.42 Pd.upf
Cu 63.55 Cu.upf
CELL_PARAMETERS angstrom
3.998 0.000 0.000
0.000 9.462 0.000
0.000 0.000 9.462
ATOMIC_POSITIONS crystal
Ag 0.000 0.500 0.500
Ag 0.000 0.000 0.000
Pm 0.000 0.821 0.679
Pm 0.000 0.321 0.821
Pm 0.000 0.179 0.321
Pm 0.000 0.679 0.179
Pd 0.500 0.500 0.000
Pd 0.500 0.000 0.500
Pd 0.500 0.067 0.793
Pd 0.500 0.567 0.707
Pd 0.500 0.707 0.433
Pd 0.500 0.293 0.567
Pd 0.500 0.933 0.207
Pd 0.500 0.793 0.933
Pd 0.500 0.207 0.067
Pd 0.500 0.433 0.293
Cu 0.000 0.382 0.118
Cu 0.000 0.618 0.882
Cu 0.000 0.882 0.382
Cu 0.000 0.118 0.618